# 1
Here is a relaxed ReSbI2O crystal from the Alexandria database. Energies are from GGA-PBEsol.

Results
The final energy comes out at -5.2741 eV/atom. As for the relative energy among the computed polymorphs: 0 meV/atom. The uncorrected formation energy is 0.060 eV per atom. The value obtained for the density of states at the Fermi level is 0.811 states/eV per atom.

Geometry as extended XYZ:
```
5
Lattice="5.538 0.000 0.000 0.000 5.538 0.000 0.000 0.000 3.757" Properties=species:S:1:pos:R:3 pbc="T T T"
Re 0.000 0.000 0.000
Sb 2.769 2.769 1.878
I 0.000 2.769 0.000
I 2.769 0.000 0.000
O 0.000 0.000 1.878
```



# 2
Here is a relaxed CaNbO2F crystal from the Alexandria database. Energies are from GGA-PBEsol.

Results
The final energy comes out at -7.4587 eV/atom. The uncorrected formation energy is -2.383 eV per atom. The value obtained for the density of states at the Fermi level is 0.526 states/eV per atom.

Geometry as extended XYZ:
```
5
Lattice="4.042 0.000 0.000 0.000 4.042 0.000 0.000 0.000 4.204" Properties=species:S:1:pos:R:3 pbc="T T T"
Ca 0.000 0.000 0.000
Nb 2.021 2.021 2.102
O 0.000 2.021 2.102
O 2.021 0.000 2.102
F 2.021 2.021 0.000
```



Which of these has the highest final energy? ReSbI2O



Which of these has the lowest final energy? CaNbO2F



Which of these has the lowest final energy? CaNbO2F